Entry 1:
DFT (GGA-PBE) results for a relaxed CePmGe2Pd2 crystal.

## Properties
Space group: No. 164
Calculated volume: 21.4 Å³/atom
Theoretical density: 8.31 g cm⁻³
DFT formation energy: -0.899 eV per atom
Final energy: -5.95 eV/atom

abc: 4.396 4.396 7.682
angles: 90.00 90.00 120.00
Positions (direct):
Ce 0.000 0.000 0.000
Pm 0.000 0.000 0.500
Ge 0.333 0.667 0.238
Ge 0.667 0.333 0.762
Pd 0.333 0.667 0.744
Pd 0.667 0.333 0.256

***

Entry 2:
DFT (GGA-PBE) results for a relaxed Ce2PmGe2Pd2 crystal.

## Properties
Space group: No. 166
Calculated volume: 21.6 Å³/atom
Theoretical density: 8.61 g cm⁻³
DFT formation energy: -0.783 eV per atom
Final energy: -5.96 eV/atom

abc: 4.422 4.422 9.277
angles: 76.21 76.21 60.00
Site moments in Bohr magnetons follow the coordinates.
Positions (direct):
Ce 0.139 0.139 0.582  0.53
Ce 0.861 0.861 0.418  0.53
Pm 0.000 0.000 0.000  0.01
Ge 0.739 0.739 0.782  -0.02
Ge 0.261 0.261 0.218  -0.02
Pd 0.590 0.590 0.232  -0.01
Pd 0.410 0.410 0.768  -0.01

***

Entry 3:
DFT (GGA-PBE) results for a relaxed Ce2PrGe2Pd7 crystal.

## Properties
Space group: No. 12
Calculated volume: 19.9 Å³/atom
Theoretical density: 9.11 g cm⁻³
DFT formation energy: -0.721 eV per atom
Final energy: -5.91 eV/atom

abc: 4.149 4.149 14.042
angles: 84.00 84.00 88.94
Site moments in Bohr magnetons follow the coordinates.
Positions (direct):
Ce 0.883 0.883 0.354  0.75
Ce 0.117 0.117 0.646  0.75
Pr 0.000 0.000 0.000  -0.01
Ge 0.590 0.590 0.743  0.01
Ge 0.410 0.410 0.257  0.01
Pd 0.500 0.500 0.000  0.00
Pd 0.347 0.347 0.437  -0.02
Pd 0.653 0.653 0.563  -0.02
Pd 0.945 0.445 0.158  0.02
Pd 0.445 0.945 0.158  0.02
Pd 0.555 0.055 0.842  0.02
Pd 0.055 0.555 0.842  0.02

***

Entry 4:
DFT (GGA-PBE) results for a relaxed CePrGePd crystal.

## Properties
Space group: No. 216
Calculated volume: 24.6 Å³/atom
Theoretical density: 7.77 g cm⁻³
DFT formation energy: -0.626 eV per atom
Final energy: -5.76 eV/atom

abc: 5.181 5.181 5.181
angles: 60.00 60.00 60.00
Site moments in Bohr magnetons follow the coordinates.
Positions (direct):
Pr 0.000 0.000 0.000  0.11
Ge 0.250 0.250 0.250  -0.02
Pd 0.750 0.750 0.750  -0.01
Ce 0.500 0.500 0.500  0.87

***

Entry 5:
DFT (GGA-PBE) results for a relaxed Ce2Ge3PdPt12 crystal.

## Properties
Space group: No. 166
Calculated volume: 20.0 Å³/atom
Theoretical density: 13.62 g cm⁻³
DFT formation energy: -0.314 eV per atom
Final energy: -6.06 eV/atom

abc: 7.665 7.665 7.665
angles: 65.90 65.90 65.90
Positions (direct):
Ce 0.613 0.613 0.613
Ce 0.387 0.387 0.387
Ge 0.500 0.000 0.000
Ge 0.000 0.500 0.000
Ge 0.000 0.000 0.500
Pd 0.000 0.000 0.000
Pt 0.368 0.368 0.894
Pt 0.854 0.854 0.384
Pt 0.384 0.854 0.854
Pt 0.894 0.368 0.368
Pt 0.854 0.384 0.854
Pt 0.368 0.894 0.368
Pt 0.632 0.632 0.106
Pt 0.146 0.146 0.616
Pt 0.616 0.146 0.146
Pt 0.106 0.632 0.632
Pt 0.146 0.616 0.146
Pt 0.632 0.106 0.632

***

Entry 6:
DFT (GGA-PBE) results for a relaxed Ce2Ge3PdPt4 crystal.

## Properties
Space group: No. 115
Calculated volume: 19.1 Å³/atom
Theoretical density: 12.01 g cm⁻³
DFT formation energy: -0.843 eV per atom
Final energy: -6.35 eV/atom

abc: 4.104 4.104 11.368
angles: 90.00 90.00 90.00
Site moments in Bohr magnetons follow the coordinates.
Positions (direct):
Ce 0.500 0.000 0.259  0.42
Ce 0.000 0.500 0.741  0.42
Ge 0.000 0.000 0.500  -0.01
Ge 0.500 0.000 0.871  0.00
Ge 0.000 0.500 0.129  0.00
Pd 0.500 0.500 0.500  -0.01
Pt 0.500 0.500 0.000  0.04
Pt 0.000 0.000 0.000  0.04
Pt 0.500 0.000 0.658  -0.02
Pt 0.000 0.500 0.342  -0.02

***

Question: Look up the final energy of the fourth one.
Answer: -5.76 eV/atom

***

Question: What is the formula in the first record?
Answer: CePmGe2Pd2

***

Question: Number 5 is which compound?
Answer: Ce2Ge3PdPt12